No. 1
CaCdSe2: optimized geometry, PBE-GGA.

Lattice parameters (Å, degrees): 7.2725 7.2725 7.2725 90.00 90.00 90.00
Space group F-43m (No. 216)
Symmetry-distinct sites (fractional):
Ca (0.0000, 0.0000, 0.0000) x4
Cd (0.2500, 0.2500, 0.2500) x4
Se (0.0000, 0.0000, 0.5000) x4
Se (0.2500, 0.2500, 0.7500) x4


No. 2
Ac3Pr3SmS8: optimized geometry, PBE-GGA.

Lattice parameters (Å, degrees): 8.3029 8.3029 20.8435 90.00 90.00 120.00
Space group R-3m (No. 166, hexagonal axes)
Symmetry-distinct sites (fractional):
Ac (0.0000, 0.5000, 0.0000) x9
Pr (0.0000, 0.5000, 0.5000) x9
Sm (0.0000, 0.0000, 0.5000) x3
S (0.0000, 0.0000, 0.2463) x6
S (0.0068, 0.5034, 0.2447) x18


Record-wise E_form (uncorrected) values, in eV/atom: -0.4442, -2.0393